A plane-wave DFT calculation with GGA-PBE was carried out for a geometry-optimized Tb5Dy4Tl structure.

Cell: 4.1314 4.1314 18.1224 Å, 90.00 90.00 90.00°
With the nearest neighbours (Å) after each atom.
Element x y z (fractional)
Tb 0.5000 0.5000 0.0910  1 Tb 3.30, 4 Tl 3.35, 4 Dy 3.50
Tb 0.5000 0.5000 0.2965  8 Dy 3.43-3.46, 2 Tb 3.69-3.73
Tb 0.5000 0.5000 0.5000  8 Dy 3.45, 2 Tb 3.69
Tb 0.5000 0.5000 0.7035  8 Dy 3.43-3.46, 2 Tb 3.69-3.73
Tb 0.5000 0.5000 0.9090  1 Tb 3.30, 4 Tl 3.35, 4 Dy 3.50
Dy 0.0000 0.0000 0.1976  8 Tb 3.43-3.50, 1 Tl 3.58, 1 Dy 3.65
Dy 0.0000 0.0000 0.3989  8 Tb 3.45-3.46, 2 Dy 3.65-3.66
Dy 0.0000 0.0000 0.6011  8 Tb 3.45-3.46, 2 Dy 3.65-3.66
Dy 0.0000 0.0000 0.8024  8 Tb 3.43-3.50, 1 Tl 3.58, 1 Dy 3.65
Tl 0.0000 0.0000 0.0000  8 Tb 3.35, 2 Dy 3.58

ΔE_f in eV per atom: 0.040
Total magnetic moment in μB per cell: 0.0
SG: P4/mmm (123)
Energy above the lowest structure with this stoichiometry in meV per atom: 0